(1)
Li5Mg2In12: optimized geometry, PBE.

Properties
ΔE to the lowest computed polymorph	0.31	eV per formula unit
SG	C2/m

Lattice parameters (Å, degrees): 8.236 8.236 8.704 118.56 118.56 73.78
Element x y z (fractional)
1 Li 0.000 0.000 0.000
2 Li 0.254 0.254 0.715
3 Li 0.269 0.269 0.113
4 Li 0.731 0.731 0.887
5 Li 0.746 0.746 0.285
6 Mg 0.261 0.739 0.500
7 Mg 0.739 0.261 0.500
8 In 0.025 0.025 0.698
9 In 0.043 0.361 0.340
10 In 0.155 0.621 0.050
11 In 0.361 0.043 0.340
12 In 0.379 0.845 0.950
13 In 0.455 0.455 0.664
14 In 0.545 0.545 0.336
15 In 0.621 0.155 0.050
16 In 0.639 0.957 0.660
17 In 0.845 0.379 0.950
18 In 0.957 0.639 0.660
19 In 0.975 0.975 0.302

---

(2)
Li7Mg2In2: optimized geometry, PBE.

Properties
SG	C2/m
raw total energy	-0.15696	Ry per atom

Lattice parameters (Å, degrees): 6.862 6.862 4.999 104.88 104.88 91.56
Element x y z (fractional)
1 Li 0.000 0.000 0.000
2 Li 0.065 0.595 0.842
3 Li 0.405 0.935 0.158
4 Li 0.418 0.418 0.210
5 Li 0.582 0.582 0.790
6 Li 0.595 0.065 0.842
7 Li 0.935 0.405 0.158
8 Mg 0.212 0.212 0.599
9 Mg 0.788 0.788 0.401
10 In 0.235 0.765 0.500
11 In 0.765 0.235 0.500

---

(3)
LiMg2In6: optimized geometry, PBE.

Properties
ΔE to the lowest computed polymorph	0.52	eV per formula unit
SG	C2/m

Lattice parameters (Å, degrees): 8.174 8.174 4.532 105.82 105.82 54.48
Element x y z (fractional)
1 Li 0.000 0.000 0.000
2 Mg 0.354 0.354 0.353
3 Mg 0.646 0.646 0.647
4 In 0.053 0.613 0.833
5 In 0.208 0.792 0.500
6 In 0.387 0.947 0.167
7 In 0.613 0.053 0.833
8 In 0.792 0.208 0.500
9 In 0.947 0.387 0.167

---

(4)
Li5Mg2In2: optimized geometry, PBE.

Properties
ΔE to the lowest computed polymorph	0.00	eV per formula unit
SG	C2/m

Lattice parameters (Å, degrees): 6.714 6.714 6.605 107.02 107.02 39.82
Element x y z (fractional)
1 Li 0.000 0.000 0.000
2 Li 0.116 0.116 0.684
3 Li 0.443 0.443 0.663
4 Li 0.557 0.557 0.337
5 Li 0.884 0.884 0.316
6 Mg 0.217 0.217 0.324
7 Mg 0.783 0.783 0.676
8 In 0.346 0.346 0.010
9 In 0.654 0.654 0.990

---

(5)
LiMg2In: optimized geometry, PBE.

Properties
SG	R-3m
raw total energy	-0.14962	Ry per atom

Lattice parameters (Å, degrees): 3.236 3.236 30.008 90.00 90.00 120.00
Element x y z (fractional)
1 Li 0.000 0.000 0.000
2 Li 0.333 0.667 0.667
3 Li 0.667 0.333 0.333
4 Mg 0.000 0.000 0.253
5 Mg 0.000 0.000 0.747
6 Mg 0.333 0.667 0.414
7 Mg 0.333 0.667 0.919
8 Mg 0.667 0.333 0.081
9 Mg 0.667 0.333 0.586
10 In 0.000 0.000 0.500
11 In 0.333 0.667 0.167
12 In 0.667 0.333 0.833

---

(6)
LiMgIn2: optimized geometry, PBE.

Properties
SG	Cm
raw total energy	-0.17559	Ry per atom

Lattice parameters (Å, degrees): 10.364 3.510 5.063 90.00 101.31 90.00
Element x y z (fractional)
1 Li 0.000 0.000 0.000
2 Li 0.500 0.500 0.000
3 Mg 0.254 0.500 0.279
4 Mg 0.754 0.000 0.279
5 In 0.003 0.500 0.496
6 In 0.256 0.000 0.792
7 In 0.503 0.000 0.496
8 In 0.756 0.500 0.792